# 1
Entry from the Alexandria database: CoNiPdW after structural relaxation (PBE). Values from VASP.

Computed properties:
Formation energy from the elements in meV/atom: 107
N(E_F) in states/eV per cell: 3.6
Density in kg/m³: 12922
Space group: F-43m (216)
Final energy in Ha/atom: -0.28117

Structure (Quantum ESPRESSO input):
```
&SYSTEM
  ibrav = 0, nat = 4, ntyp = 4
/
ATOMIC_SPECIES
W 183.84 W.upf
Co 58.93 Co.upf
Ni 58.69 Ni.upf
Pd 106.42 Pd.upf
ATOMIC_POSITIONS crystal
W 0.2500 0.2500 0.2500
Co 0.5000 0.5000 0.5000
Ni 0.0000 0.0000 0.0000
Pd 0.7500 0.7500 0.7500
CELL_PARAMETERS angstrom
4.2007 0.0000 0.0000
2.1004 3.6379 0.0000
2.1004 1.2126 3.4299
```

---

# 2
Entry from the Alexandria database: Pm2Co5Ni5 after structural relaxation (PBE). Values from VASP.

Computed properties:
Formation energy from the elements in meV/atom: -163
N(E_F) in states/eV per cell: 15.5
Density in kg/m³: 8619
Space group: Pmmm (47)
Final energy in Ha/atom: -0.23242

Structure (Quantum ESPRESSO input):
```
&SYSTEM
  ibrav = 0, nat = 12, ntyp = 3
/
ATOMIC_SPECIES
Co 58.93 Co.upf
Ni 58.69 Ni.upf
Pm 145.00 Pm.upf
ATOMIC_POSITIONS crystal
Co 0.5000 0.7515 0.2536
Co 0.5000 0.2485 0.7464
Co 0.5000 0.7515 0.7464
Co 0.5000 0.5000 0.5000
Co 0.5000 0.2485 0.2536
Ni 0.5000 0.0000 0.0000
Ni 0.0000 0.0000 0.1687
Ni 0.0000 0.5000 0.3304
Ni 0.0000 0.5000 0.6696
Ni 0.0000 0.0000 0.8313
Pm 0.0000 0.5000 0.0000
Pm 0.0000 0.0000 0.5000
CELL_PARAMETERS angstrom
-1.7223 0.8916 3.5072
-0.7680 -4.7383 0.8274
7.7055 -0.5633 3.9271
```

---

# 3
Entry from the Alexandria database: Pm4CoNi3 after structural relaxation (PBE). Values from VASP.

Computed properties:
Formation energy from the elements in meV/atom: -273
N(E_F) in states/eV per cell: 7.1
Density in kg/m³: 7900
Space group: Pmm2 (25)
Final energy in Ha/atom: -0.20963

Structure (Quantum ESPRESSO input):
```
&SYSTEM
  ibrav = 0, nat = 8, ntyp = 3
/
ATOMIC_SPECIES
Co 58.93 Co.upf
Ni 58.69 Ni.upf
Pm 145.00 Pm.upf
ATOMIC_POSITIONS crystal
Co 0.5000 0.5000 0.0693
Ni 0.5000 0.0000 0.9318
Ni 0.0000 0.0000 0.4309
Ni 0.0000 0.5000 0.5700
Pm 0.5000 0.5000 0.3570
Pm 0.5000 0.0000 0.6379
Pm 0.0000 0.5000 0.8634
Pm 0.0000 0.0000 0.1398
CELL_PARAMETERS angstrom
3.8483 0.0000 0.0000
0.0000 4.1991 0.0000
0.0000 0.0000 10.6018
```

---

# 4
Entry from the Alexandria database: PmCoNi after structural relaxation (PBE). Values from VASP.

Computed properties:
Formation energy from the elements in meV/atom: -178
N(E_F) in states/eV per cell: 3.7
Density in kg/m³: 8047
Space group: P-6m2 (187)
Final energy in Ha/atom: -0.22262

Structure (Quantum ESPRESSO input):
```
&SYSTEM
  ibrav = 0, nat = 3, ntyp = 3
/
ATOMIC_SPECIES
Ni 58.69 Ni.upf
Co 58.93 Co.upf
Pm 145.00 Pm.upf
ATOMIC_POSITIONS crystal
Ni 0.1666 0.0000 0.0000
Co 0.1667 0.3333 0.6667
Pm 0.6667 0.6667 0.3333
CELL_PARAMETERS angstrom
3.9745 0.0000 0.0000
0.0000 3.9679 0.0000
0.0000 -1.9839 3.4363
```

---

# 5
Entry from the Alexandria database: Pm3Co3Ni after structural relaxation (PBE). Values from VASP.

Computed properties:
Formation energy from the elements in meV/atom: -132
N(E_F) in states/eV per cell: 15.9
Density in kg/m³: 8232
Space group: Cmcm (63)
Final energy in Ha/atom: -0.22193

Structure (Quantum ESPRESSO input):
```
&SYSTEM
  ibrav = 0, nat = 14, ntyp = 3
/
ATOMIC_SPECIES
Co 58.93 Co.upf
Pm 145.00 Pm.upf
Ni 58.69 Ni.upf
ATOMIC_POSITIONS crystal
Co 0.0609 0.1218 0.4155
Co 0.9391 0.8782 0.9155
Co 0.0609 0.1218 0.0845
Co 0.8293 0.6585 0.7500
Co 0.1707 0.3415 0.2500
Co 0.9391 0.8782 0.5845
Pm 0.4765 0.9530 0.2500
Pm 0.7692 0.5385 0.3977
Pm 0.5235 0.0470 0.7500
Pm 0.2308 0.4615 0.8977
Pm 0.2308 0.4615 0.6023
Pm 0.7692 0.5385 0.1023
Ni 0.5000 0.0000 0.0000
Ni 0.5000 0.0000 0.5000
CELL_PARAMETERS angstrom
-4.0587 1.4422 -0.1539
0.7263 -4.0072 3.6492
2.6787 8.4743 8.7724
```

---

# 6
Entry from the Alexandria database: PmCoNi after structural relaxation (PBE). Values from VASP.

Computed properties:
Formation energy from the elements in meV/atom: 660
N(E_F) in states/eV per cell: 9.0
Density in kg/m³: 5808
Space group: C2/c (15)
Final energy in Ha/atom: -0.19181

Structure (Quantum ESPRESSO input):
```
&SYSTEM
  ibrav = 0, nat = 6, ntyp = 3
/
ATOMIC_SPECIES
Co 58.93 Co.upf
Ni 58.69 Ni.upf
Pm 145.00 Pm.upf
ATOMIC_POSITIONS crystal
Co 0.4999 0.0003 0.2500
Co 0.5001 0.9997 0.7500
Ni 0.5000 0.0000 0.5000
Ni 0.5000 0.0000 0.0000
Pm 0.8335 0.3330 0.7500
Pm 0.1665 0.6670 0.2500
CELL_PARAMETERS angstrom
-3.5953 -2.3767 -1.1988
-2.5720 -1.8979 3.1294
-4.8716 7.1583 0.3505
```

---

# 7
Entry from the Alexandria database: PmCoNi after structural relaxation (PBE). Values from VASP.

Computed properties:
Formation energy from the elements in meV/atom: -139
N(E_F) in states/eV per cell: 7.2
Density in kg/m³: 8202
Space group: I4/mmm (139)
Final energy in Ha/atom: -0.22116

Structure (Quantum ESPRESSO input):
```
&SYSTEM
  ibrav = 0, nat = 6, ntyp = 3
/
ATOMIC_SPECIES
Co 58.93 Co.upf
Ni 58.69 Ni.upf
Pm 145.00 Pm.upf
ATOMIC_POSITIONS crystal
Co 0.5000 0.0000 0.0000
Co 0.0000 0.5000 0.0000
Ni 0.1016 0.1016 0.2032
Ni 0.8984 0.8984 0.7968
Pm 0.3428 0.3428 0.6856
Pm 0.6572 0.6572 0.3144
CELL_PARAMETERS angstrom
-0.4287 -2.5349 -3.2131
1.5433 -3.0923 2.2337
-6.3415 1.3298 2.4321
```

---

# 8
Entry from the Alexandria database: Pm4Co2Ni5 after structural relaxation (PBE). Values from VASP.

Computed properties:
Formation energy from the elements in meV/atom: -212
N(E_F) in states/eV per cell: 10.0
Density in kg/m³: 8175
Space group: P2/m (10)
Final energy in Ha/atom: -0.21531

Structure (Quantum ESPRESSO input):
```
&SYSTEM
  ibrav = 0, nat = 11, ntyp = 3
/
ATOMIC_SPECIES
Co 58.93 Co.upf
Pm 145.00 Pm.upf
Ni 58.69 Ni.upf
ATOMIC_POSITIONS crystal
Co 0.0000 0.9115 0.3718
Co 0.0000 0.0885 0.6282
Pm 0.5000 0.7574 0.1249
Pm 0.5000 0.7473 0.6204
Pm 0.5000 0.2527 0.3796
Pm 0.5000 0.2426 0.8751
Ni 0.0000 0.1323 0.1236
Ni 0.0000 0.5000 0.0000
Ni 0.0000 0.5476 0.3348
Ni 0.0000 0.8677 0.8764
Ni 0.0000 0.4524 0.6652
CELL_PARAMETERS angstrom
-1.9069 -0.9990 3.5202
-4.6612 -2.9771 -3.3698
4.0314 -6.3566 0.3799
```

---

# 9
Entry from the Alexandria database: PmCoNi after structural relaxation (PBE). Values from VASP.

Computed properties:
Formation energy from the elements in meV/atom: -214
N(E_F) in states/eV per cell: 3.6
Density in kg/m³: 8003
Space group: Imma (74)
Final energy in Ha/atom: -0.22394

Structure (Quantum ESPRESSO input):
```
&SYSTEM
  ibrav = 0, nat = 6, ntyp = 3
/
ATOMIC_SPECIES
Ni 58.69 Ni.upf
Co 58.93 Co.upf
Pm 145.00 Pm.upf
ATOMIC_POSITIONS crystal
Ni 0.2500 0.0883 0.9117
Ni 0.7500 0.9117 0.0883
Co 0.7500 0.5749 0.4251
Co 0.2500 0.4251 0.5749
Pm 0.0000 0.0000 0.5000
Pm 0.5000 0.5000 0.0000
CELL_PARAMETERS angstrom
3.6465 0.0000 1.5067
1.5669 5.2475 1.3738
-0.1959 0.1796 5.6398
```

---

# 10
Entry from the Alexandria database: Pm2CoNi after structural relaxation (PBE). Values from VASP.

Computed properties:
Formation energy from the elements in meV/atom: -131
N(E_F) in states/eV per cell: 1.7
Density in kg/m³: 8214
Space group: P4/mmm (123)
Final energy in Ha/atom: -0.21051

Structure (Quantum ESPRESSO input):
```
&SYSTEM
  ibrav = 0, nat = 4, ntyp = 3
/
ATOMIC_SPECIES
Co 58.93 Co.upf
Pm 145.00 Pm.upf
Ni 58.69 Ni.upf
ATOMIC_POSITIONS crystal
Co 0.5000 0.5000 0.0000
Pm 0.0000 0.0000 0.2471
Pm 0.0000 0.0000 0.7529
Ni 0.5000 0.5000 0.5000
CELL_PARAMETERS angstrom
3.4418 0.0000 0.0000
0.0000 3.4418 0.0000
0.0000 0.0000 6.9564
```